Ba2CaMn2O6, optimized geometry, DFT GGA+U; SG = No. 166; crystal system = trigonal; E_tot = -6.51 eV per atom; M_tot = 3.97 μB per cell
1.0
-0.5847 -5.6776 1.7880
0.8615 -4.4633 -3.8872
5.9797 -3.5238 0.7698
Ba O Ca Mn
2 6 1 2
direct
0.2132 0.2132 0.3604
0.7868 0.7868 0.6396
0.2542 0.2542 0.7342
0.2426 0.7458 0.2658
0.7458 0.7458 0.2658
0.2542 0.7574 0.7342
0.7574 0.2542 0.7342
0.7458 0.2426 0.2658
0.0000 0.0000 0.0000
0.4139 0.4139 0.7583
0.5861 0.5861 0.2417